The following is a GGA-PBE calculation of a geometry-optimized Sn2HPd4 structure, from Alexandria.

Cell lengths 4.020, 4.020, 7.449 Å; angles 74.35, 74.35, 90.00 degrees
Sites, in units of the cell vectors:
1 H 0.000 0.000 0.000
2 Sn 0.349 0.349 0.301
3 Sn 0.651 0.651 0.699
4 Pd 0.155 0.155 0.689
5 Pd 0.845 0.845 0.311
6 Pd 0.000 0.500 0.000
7 Pd 0.500 0.000 0.000

Calculated values
The calculation puts the energy above the most stable polymorph in this dataset at 56 meV/atom. As for the space-group type: I4/mmm, No. 139.